# 1
Nd5ReC5 | PBE | relaxed

Cell: 5.0848 6.1905 7.2309 Å, 106.85 90.00 114.25°
Closest atoms and distances in Å follow each position.
Sites, in units of the cell vectors:
Nd: 0.6728 0.3457 0.3147  4 C 2.48-2.63
Nd: 0.6675 0.3349 0.8454  5 C 2.48-2.64
Nd: 0.0000 0.0000 0.5000  4 C 2.54-2.55
Nd: 0.3325 0.6651 0.1546  5 C 2.48-2.64
Nd: 0.3272 0.6543 0.6853  4 C 2.48-2.63
Re: 0.0000 0.0000 0.0000  4 C 2.17-2.28
C: 0.8505 0.7011 0.1513  1 Re 2.28, 4 Nd 2.50-2.55
C: 0.8597 0.7195 0.7132  1 Re 2.17
C: 0.5000 0.0000 0.0000  4 Nd 2.48, 2 Re 2.54
C: 0.1403 0.2805 0.2868  1 Re 2.17
C: 0.1495 0.2989 0.8487  1 Re 2.28, 4 Nd 2.50-2.55

Properties
SG = No. 12
Formation energy = 223.3 meV per atom

# 2
Nd2ReC2 | PBE | relaxed

Cell: 5.3614 6.7233 10.2232 Å, 90.00 90.00 90.00°
Closest atoms and distances in Å follow each position.
Sites, in units of the cell vectors:
Nd: 0.2500 0.4735 0.7865  4 C 2.64-2.92
Nd: 0.7500 0.0265 0.2865  4 C 2.64-2.92
Nd: 0.2500 0.9735 0.7135  4 C 2.64-2.92
Nd: 0.7500 0.5265 0.2135  4 C 2.64-2.92
Nd: 0.2500 0.8126 0.0508  5 C 2.59-2.70
Nd: 0.7500 0.6874 0.5508  5 C 2.59-2.70
Nd: 0.2500 0.3126 0.4492  5 C 2.59-2.70
Nd: 0.7500 0.1874 0.9492  5 C 2.59-2.70
Re: 0.2500 0.2707 0.1421  3 C 1.92-2.05
Re: 0.7500 0.2293 0.6421  3 C 1.92-2.05
Re: 0.2500 0.7707 0.3579  3 C 1.92-2.05
Re: 0.7500 0.7293 0.8579  3 C 1.92-2.05
C: 0.2500 0.6873 0.5374  1 Re 1.92
C: 0.7500 0.8127 0.0374  1 Re 1.92
C: 0.2500 0.1873 0.9626  1 Re 1.92
C: 0.7500 0.3127 0.4626  1 Re 1.92
C: 0.2500 0.0349 0.2582  2 Re 1.98-2.05
C: 0.7500 0.4651 0.7582  2 Re 1.98-2.05
C: 0.2500 0.5349 0.2418  2 Re 1.98-2.05
C: 0.7500 0.9651 0.7418  2 Re 1.98-2.05

Properties
SG = No. 62
Distance to the lowest polymorph of the same formula = 0.000 eV/atom
Formation energy = -266.0 meV per atom

# 3
NdReC | PBE | relaxed

Cell: 4.7824 3.5429 3.5429 Å, 120.00 90.00 90.00°
Closest atoms and distances in Å follow each position.
Sites, in units of the cell vectors:
Re: 0.1667 0.3333 0.6667  3 C 2.05
C: 0.1668 0.0000 0.0000  3 Re 2.05
Nd: 0.6665 0.6667 0.3333  6 C 3.15, 6 Re 3.15

Properties
SG = No. 187
Distance to the lowest polymorph of the same formula = 0.000 eV/atom
Formation energy = 176.7 meV per atom

# 4
Nd3ReC4 | PBE | relaxed

Cell: 5.5189 7.0351 7.9286 Å, 90.00 90.00 90.00°
Closest atoms and distances in Å follow each position.
Sites, in units of the cell vectors:
Nd: 0.5407 0.8646 0.0000  3 C 2.35-2.60
Nd: 0.0394 0.6702 0.2470  4 C 2.35-2.56
Nd: 0.5394 0.3298 0.2530  4 C 2.35-2.56
Nd: 0.0407 0.1354 0.5000  3 C 2.35-2.60
Nd: 0.5394 0.3298 0.7470  4 C 2.35-2.56
Nd: 0.0394 0.6702 0.7530  4 C 2.35-2.56
Re: 0.0080 0.1771 0.0000  4 C 1.90-1.97
Re: 0.5080 0.8229 0.5000  4 C 1.90-1.97
C: 0.0623 0.9016 0.0000  1 Re 1.96
C: 0.6644 0.1848 0.0000  1 Re 1.90
C: 0.0805 0.3101 0.2126  1 Re 1.97
C: 0.5805 0.6899 0.2874  1 Re 1.97
C: 0.1644 0.8152 0.5000  1 Re 1.90
C: 0.5623 0.0984 0.5000  1 Re 1.96
C: 0.5805 0.6899 0.7126  1 Re 1.97
C: 0.0805 0.3101 0.7874  1 Re 1.97

Properties
SG = No. 31
Formation energy = 22.0 meV per atom

# 5
Nd3Re2C4 | PBE | relaxed

Cell: 5.7501 7.3274 7.3274 Å, 74.41 88.92 88.92°
Closest atoms and distances in Å follow each position.
Sites, in units of the cell vectors:
Nd: 0.9612 0.9831 0.2503  5 C 2.69-2.87
Nd: 0.5388 0.7497 0.0169  5 C 2.69-2.87
Nd: 0.0388 0.0169 0.7497  5 C 2.69-2.87
Nd: 0.4612 0.2503 0.9831  5 C 2.69-2.87
Nd: 0.2500 0.5940 0.4060  6 C 2.63-2.84
Nd: 0.7500 0.4060 0.5940  6 C 2.63-2.84
Re: 0.4083 0.1730 0.4141  4 C 1.99-2.11
Re: 0.0917 0.5859 0.8270  4 C 1.99-2.11
Re: 0.5917 0.8270 0.5859  4 C 1.99-2.11
Re: 0.9083 0.4141 0.1730  4 C 1.99-2.11
C: 0.4808 0.9466 0.3056  2 Re 2.06-2.11
C: 0.0192 0.6944 0.0534  2 Re 2.06-2.11
C: 0.5192 0.0534 0.6944  2 Re 2.06-2.11
C: 0.9808 0.3056 0.9466  2 Re 2.06-2.11
C: 0.0797 0.2632 0.4055  2 Re 1.99-2.03
C: 0.4203 0.5945 0.7368  2 Re 1.99-2.03
C: 0.9203 0.7368 0.5945  2 Re 1.99-2.03
C: 0.5797 0.4055 0.2632  2 Re 1.99-2.03

Properties
SG = No. 15
Formation energy = -44.8 meV per atom

# 6
NdReC | PBE | relaxed

Cell: 5.1953 6.1892 6.1892 Å, 90.00 90.00 90.00°
Closest atoms and distances in Å follow each position.
Sites, in units of the cell vectors:
C: 0.0000 0.5000 0.7982  2 Re 2.08
C: 0.5000 0.2018 0.5000  2 Re 2.08
C: 0.5000 0.7982 0.5000  2 Re 2.08
C: 0.0000 0.5000 0.2018  2 Re 2.08
Nd: 0.0000 0.7699 0.5000  4 C 2.49-2.60
Nd: 0.5000 0.5000 0.7699  4 C 2.49-2.60
Nd: 0.5000 0.5000 0.2301  4 C 2.49-2.60
Nd: 0.0000 0.2301 0.5000  4 C 2.49-2.60
Re: 0.0000 0.7697 0.0000  2 C 2.08
Re: 0.5000 0.0000 0.7697  2 C 2.08
Re: 0.5000 0.0000 0.2303  2 C 2.08
Re: 0.0000 0.2303 0.0000  2 C 2.08

Properties
SG = No. 131
Distance to the lowest polymorph of the same formula = 0.174 eV/atom
Formation energy = 350.3 meV per atom

# 7
Nd2ReC3 | PBE | relaxed

Cell: 5.6921 6.6847 6.6847 Å, 123.34 90.00 90.00°
Closest atoms and distances in Å follow each position.
Sites, in units of the cell vectors:
Nd: 0.5347 0.8841 0.5861  2 C 2.49-2.50
Nd: 0.0347 0.4139 0.1159  2 C 2.49-2.50
Nd: 0.5347 0.5861 0.8841  2 C 2.49-2.50
Nd: 0.0347 0.1159 0.4139  2 C 2.49-2.50
Re: 0.0347 0.7978 0.7978  4 C 1.92-1.94
Re: 0.5347 0.2022 0.2022  4 C 1.92-1.94
C: 0.0346 0.8060 0.5122  1 Re 1.94
C: 0.5346 0.4878 0.1940  1 Re 1.94
C: 0.0346 0.5122 0.8060  1 Re 1.94
C: 0.5346 0.1940 0.4878  1 Re 1.94
C: 0.2847 0.0000 0.0000  2 Re 1.92
C: 0.7847 0.0000 0.0000  2 Re 1.92

Properties
SG = No. 63
Formation energy = -51.9 meV per atom

# 8
Nd3ReC3 | PBE | relaxed

Cell: 5.4058 7.0302 7.0261 Å, 100.91 90.00 90.00°
Closest atoms and distances in Å follow each position.
Sites, in units of the cell vectors:
Nd: 0.2500 0.5893 0.8281  5 C 2.61-2.88
Nd: 0.2500 0.1714 0.4107  5 C 2.61-2.88
Nd: 0.2500 0.1084 0.8918  5 C 2.53-2.71
Nd: 0.7500 0.4107 0.1719  5 C 2.61-2.88
Nd: 0.7500 0.8286 0.5893  5 C 2.61-2.88
Nd: 0.7500 0.8916 0.1082  5 C 2.53-2.71
Re: 0.7500 0.3046 0.6953  3 C 1.94
Re: 0.2500 0.6954 0.3047  3 C 1.94
C: 0.7500 0.5735 0.8246  1 Re 1.94
C: 0.7500 0.1749 0.4262  1 Re 1.94
C: 0.7500 0.1254 0.8749  1 Re 1.94
C: 0.2500 0.4265 0.1754  1 Re 1.94
C: 0.2500 0.8251 0.5738  1 Re 1.94
C: 0.2500 0.8746 0.1251  1 Re 1.94

Properties
SG = No. 63
Formation energy = -221.9 meV per atom

# 9
Nd2ReC2 | PBE | relaxed

Cell: 5.3859 6.3634 6.9416 Å, 61.76 67.17 64.96°
Closest atoms and distances in Å follow each position.
Sites, in units of the cell vectors:
Nd: 0.6810 0.2682 0.3697  5 C 2.57-2.81
Nd: 0.3190 0.7318 0.6303  5 C 2.57-2.81
Nd: 0.0352 0.7147 0.2149  4 C 2.50-2.71
Nd: 0.9648 0.2853 0.7851  4 C 2.50-2.71
Re: 0.3636 0.1421 0.1308  3 C 1.94-2.09
Re: 0.6364 0.8579 0.8692  3 C 1.94-2.09
C: 0.1836 0.2485 0.3844  1 Re 1.94
C: 0.8164 0.7515 0.6156  1 Re 1.94
C: 0.4942 0.2276 0.7840  2 Re 1.99-2.09
C: 0.5058 0.7724 0.2160  2 Re 1.99-2.09

Properties
SG = No. 12
Distance to the lowest polymorph of the same formula = 0.073 eV/atom
Formation energy = -192.8 meV per atom

# 10
NdRe2C2 | PBE | relaxed

Cell: 5.6391 5.6391 5.7508 Å, 109.44 109.44 106.24°
Closest atoms and distances in Å follow each position.
Sites, in units of the cell vectors:
Nd: 0.8741 0.6259 0.7500  6 C 2.78-3.04, 4 Re 2.98-3.03
Nd: 0.1259 0.3741 0.2500  6 C 2.78-3.04, 4 Re 2.98-3.03
Re: 0.2329 0.9739 0.4697  4 C 2.05-2.18
Re: 0.4739 0.7329 0.9697  4 C 2.05-2.18
Re: 0.7671 0.0261 0.5303  4 C 2.05-2.18
Re: 0.5261 0.2671 0.0303  4 C 2.05-2.18
C: 0.1895 0.3105 0.7500  4 Re 2.09-2.18
C: 0.4335 0.0665 0.2500  4 Re 2.05-2.16
C: 0.5665 0.9335 0.7500  4 Re 2.05-2.16
C: 0.8105 0.6895 0.2500  4 Re 2.09-2.18

Properties
SG = No. 15
Formation energy = 17.5 meV per atom

# 11
NdRe4C2 | PBE | relaxed

Cell: 3.9505 3.9622 7.2954 Å, 105.76 90.00 90.00°
Closest atoms and distances in Å follow each position.
Sites, in units of the cell vectors:
Nd: 0.0000 0.0000 0.0000  8 Re 3.19-3.28, 8 C 3.36
Re: 0.5000 0.8220 0.6440  2 C 2.08
Re: 0.0000 0.6864 0.3729  2 C 2.12
Re: 0.5000 0.1780 0.3560  2 C 2.08
Re: 0.0000 0.3136 0.6271  2 C 2.12
C: 0.5000 0.6320 0.2641  4 Re 2.08-2.12
C: 0.5000 0.3680 0.7359  4 Re 2.08-2.12

Properties
SG = No. 65
Formation energy = 151.1 meV per atom

# 12
Nd2Re2Si2C | PBE | relaxed

Cell: 5.9379 5.9379 7.1847 Å, 54.77 54.77 40.01°
Closest atoms and distances in Å follow each position.
Sites, in units of the cell vectors:
Nd: 0.4278 0.4278 0.3033  2 C 2.71
Nd: 0.5722 0.5722 0.6967  2 C 2.71
Re: 0.7958 0.7958 0.0873  1 C 1.96
Re: 0.2042 0.2042 0.9127  1 C 1.96
Si: 0.8523 0.8523 0.6958  3 Re 2.47-2.48, 1 Si 2.72
Si: 0.1477 0.1477 0.3042  3 Re 2.47-2.48, 1 Si 2.72
C: 0.0000 0.0000 0.0000  2 Re 1.96

Properties
SG = No. 12
Formation energy from raw total energies = -380 kJ/mol of formula units